1.
Here is a relaxed structure of ZrCd2Br from the Alexandria database. Energies are from PBE.

ρ (kg/m³): 7149
M_tot (μB/cell): 0.000
DOS(E_F) (states/eV per atom): 0.67

The structure in CIF format:
```
data_ZrCd2Br
_cell_length_a 3.191
_cell_length_b 4.867
_cell_length_c 5.922
_cell_angle_alpha 90.00
_cell_angle_beta 90.00
_cell_angle_gamma 90.00
_space_group_name_H-M_alt 'P 1'
_space_group_IT_number 1
loop_
_space_group_symop_operation_xyz
'x,y,z'
loop_
_atom_site_label
_atom_site_type_symbol
_atom_site_fract_x
_atom_site_fract_y
_atom_site_fract_z
_atom_site_occupancy
Cd1 Cd 0.500 0.500 0.000 1
Zr1 Zr 0.500 0.000 0.500 1
Cd2 Cd 0.000 0.000 0.000 1
Br1 Br 0.000 0.500 0.500 1
```

2.
Here is a relaxed structure of ZrCd2Br from the Alexandria database. Energies are from PBE.

ρ (kg/m³): 7010
M_tot (μB/cell): 0.000
DOS(E_F) (states/eV per atom): 0.51

The structure in CIF format:
```
data_ZrCd2Br
_cell_length_a 5.995
_cell_length_b 3.160
_cell_length_c 4.971
_cell_angle_alpha 84.89
_cell_angle_beta 90.00
_cell_angle_gamma 90.00
_space_group_name_H-M_alt 'P 1'
_space_group_IT_number 1
loop_
_space_group_symop_operation_xyz
'x,y,z'
loop_
_atom_site_label
_atom_site_type_symbol
_atom_site_fract_x
_atom_site_fract_y
_atom_site_fract_z
_atom_site_occupancy
Cd1 Cd 0.000 0.495 0.493 1
Br1 Br 0.500 0.750 0.750 1
Cd2 Cd 0.000 0.005 0.007 1
Zr1 Zr 0.500 0.250 0.250 1
```

3.
Here is a relaxed structure of ZrCd2Br from the Alexandria database. Energies are from PBE.

ρ (kg/m³): 6972
M_tot (μB/cell): 0.000
DOS(E_F) (states/eV per atom): 0.51

The structure in CIF format:
```
data_ZrCd2Br
_cell_length_a 5.105
_cell_length_b 3.225
_cell_length_c 5.728
_cell_angle_alpha 89.92
_cell_angle_beta 90.00
_cell_angle_gamma 90.00
_space_group_name_H-M_alt 'P 1'
_space_group_IT_number 1
loop_
_space_group_symop_operation_xyz
'x,y,z'
loop_
_atom_site_label
_atom_site_type_symbol
_atom_site_fract_x
_atom_site_fract_y
_atom_site_fract_z
_atom_site_occupancy
Br1 Br 0.500 0.624 0.710 1
Zr1 Zr 0.000 0.625 0.515 1
Cd1 Cd 0.500 0.127 0.264 1
Cd2 Cd 0.000 0.124 0.010 1
```

4.
Here is a relaxed structure of ZrCd2Br from the Alexandria database. Energies are from PBE.

ρ (kg/m³): 6811
M_tot (μB/cell): 0.003
DOS(E_F) (states/eV per atom): 0.81

The structure in CIF format:
```
data_ZrCd2Br
_cell_length_a 6.795
_cell_length_b 6.795
_cell_length_c 4.733
_cell_angle_alpha 77.08
_cell_angle_beta 77.08
_cell_angle_gamma 26.99
_space_group_name_H-M_alt 'P 1'
_space_group_IT_number 1
loop_
_space_group_symop_operation_xyz
'x,y,z'
loop_
_atom_site_label
_atom_site_type_symbol
_atom_site_fract_x
_atom_site_fract_y
_atom_site_fract_z
_atom_site_occupancy
Br1 Br 0.250 0.250 0.250 1
Cd1 Cd 0.037 0.037 0.972 1
Cd2 Cd 0.463 0.463 0.528 1
Zr1 Zr 0.750 0.750 0.750 1
```

Energy relative to the most stable one, in eV/atom: 1 0.097; 2 0.143; 3 0.000; 4 0.077

1.
Here is a relaxed structure of ZrCd2Br from the Alexandria database. Energies are from PBE.

ρ (kg/m³): 7273
M_tot (μB/cell): 0.000
DOS(E_F) (states/eV per atom): 1.00

The structure in CIF format:
```
data_ZrCd2Br
_cell_length_a 6.191
_cell_length_b 6.191
_cell_length_c 6.191
_cell_angle_alpha 141.72
_cell_angle_beta 141.72
_cell_angle_gamma 55.26
_space_group_name_H-M_alt 'P 1'
_space_group_IT_number 1
loop_
_space_group_symop_operation_xyz
'x,y,z'
loop_
_atom_site_label
_atom_site_type_symbol
_atom_site_fract_x
_atom_site_fract_y
_atom_site_fract_z
_atom_site_occupancy
Br1 Br 0.750 0.250 0.500 1
Cd1 Cd 0.500 0.500 0.000 1
Cd2 Cd 0.000 0.000 0.000 1
Zr1 Zr 0.250 0.750 0.500 1
```

2.
Here is a relaxed structure of ZrCd2Br from the Alexandria database. Energies are from PBE.

ρ (kg/m³): 7055
M_tot (μB/cell): 0.001
DOS(E_F) (states/eV per atom): 0.95

The structure in CIF format:
```
data_ZrCd2Br
_cell_length_a 5.684
_cell_length_b 5.684
_cell_length_c 3.315
_cell_angle_alpha 89.98
_cell_angle_beta 89.98
_cell_angle_gamma 119.53
_space_group_name_H-M_alt 'P 1'
_space_group_IT_number 1
loop_
_space_group_symop_operation_xyz
'x,y,z'
loop_
_atom_site_label
_atom_site_type_symbol
_atom_site_fract_x
_atom_site_fract_y
_atom_site_fract_z
_atom_site_occupancy
Zr1 Zr 0.500 0.000 0.500 1
Br1 Br 0.000 0.500 0.500 1
Cd1 Cd 0.500 0.500 0.000 1
Cd2 Cd 0.000 0.000 0.000 1
```

Energy relative to the most stable one, in eV/atom: 1 0.130; 2 0.000

1.
Here is a relaxed structure of ZrCd2Br from the Alexandria database. Energies are from PBE.

ρ (kg/m³): 6447
M_tot (μB/cell): 1.804
DOS(E_F) (states/eV per atom): 0.96

The structure in CIF format:
```
data_ZrCd2Br
_cell_length_a 5.244
_cell_length_b 5.244
_cell_length_c 5.244
_cell_angle_alpha 60.00
_cell_angle_beta 60.00
_cell_angle_gamma 60.00
_space_group_name_H-M_alt 'P 1'
_space_group_IT_number 1
loop_
_space_group_symop_operation_xyz
'x,y,z'
loop_
_atom_site_label
_atom_site_type_symbol
_atom_site_fract_x
_atom_site_fract_y
_atom_site_fract_z
_atom_site_occupancy
Cd1 Cd 0.750 0.750 0.750 1
Br1 Br 0.000 0.000 0.000 1
Cd2 Cd 0.250 0.250 0.250 1
Zr1 Zr 0.500 0.500 0.500 1
```

2.
Here is a relaxed structure of ZrCd2Br from the Alexandria database. Energies are from PBE.

ρ (kg/m³): 6500
M_tot (μB/cell): 0.000
DOS(E_F) (states/eV per atom): 0.61

The structure in CIF format:
```
data_ZrCd2Br
_cell_length_a 3.282
_cell_length_b 3.282
_cell_length_c 9.393
_cell_angle_alpha 90.00
_cell_angle_beta 90.00
_cell_angle_gamma 90.00
_space_group_name_H-M_alt 'P 1'
_space_group_IT_number 1
loop_
_space_group_symop_operation_xyz
'x,y,z'
loop_
_atom_site_label
_atom_site_type_symbol
_atom_site_fract_x
_atom_site_fract_y
_atom_site_fract_z
_atom_site_occupancy
Cd1 Cd 0.000 0.000 0.061 1
Zr1 Zr 0.000 0.000 0.490 1
Br1 Br 0.500 0.500 0.677 1
Cd2 Cd 0.500 0.500 0.272 1
```

3.
Here is a relaxed structure of ZrCd2Br from the Alexandria database. Energies are from PBE.

ρ (kg/m³): 6977
M_tot (μB/cell): 0.000
DOS(E_F) (states/eV per atom): 0.75

The structure in CIF format:
```
data_ZrCd2Br
_cell_length_a 5.633
_cell_length_b 5.633
_cell_length_c 5.763
_cell_angle_alpha 66.87
_cell_angle_beta 66.87
_cell_angle_gamma 34.42
_space_group_name_H-M_alt 'P 1'
_space_group_IT_number 1
loop_
_space_group_symop_operation_xyz
'x,y,z'
loop_
_atom_site_label
_atom_site_type_symbol
_atom_site_fract_x
_atom_site_fract_y
_atom_site_fract_z
_atom_site_occupancy
Zr1 Zr 0.503 0.503 0.408 1
Br1 Br 0.218 0.218 0.344 1
Cd1 Cd 0.010 0.010 0.941 1
Cd2 Cd 0.769 0.769 0.807 1
```

Energy relative to the most stable one, in eV/atom: 1 0.719; 2 0.000; 3 0.121